First-principles (GGA-PBE) data for a relaxed PuTh2Te4 crystal, as listed in Alexandria.

Total magnetization: 23.63 μB per cell
Relative energy among the computed polymorphs: 0.000 eV/atom
ρ: 9.66 g/cm3
Formation energy without anion corrections: -7.8 eV per formula unit

Structure (CIF):
```
data_PuTh2Te4
_chemical_formula_sum 'Pu4 Th8 Te16'
_symmetry_space_group_name_H-M 'I -4 2 d'
_symmetry_Int_Tables_number 122
_symmetry_space_group_name_Hall 'I -4 2bw'
_cell_length_a 9.407
_cell_length_b 9.407
_cell_length_c 9.467
_cell_angle_alpha 90.00
_cell_angle_beta 90.00
_cell_angle_gamma 90.00
loop_
_atom_site_label
_atom_site_type_symbol
_atom_site_fract_x
_atom_site_fract_y
_atom_site_fract_z
_atom_site_occupancy
Pu1 Pu 0.000 0.000 0.000 1
Th1 Th 0.117 0.750 0.625 1
Te1 Te 0.077 0.676 0.953 1
```